# Ti2BeIrPt

A geometry-optimized Ti2BeIrPt structure (GGA-PBE, the Alexandria database).

Results
- Calculated formation energy: -0.55 eV per formula unit
- Density of states at the Fermi level: 5.50 states/eV/f.u.
- Crystal system: tetragonal
- Final energy: -35.0 eV per cell

a = 4.2749 Å, b = 4.0469 Å, c = 4.2749 Å
α = 90.00°, β = 90.00°, γ = 90.00°
Element x y z (fractional)
Ir 0.0000 0.5000 0.0000
Ti 0.5000 0.0000 0.0000
Pt 0.5000 0.5000 0.5000
Ti 0.0000 0.0000 0.5000
Be 0.0000 0.0000 0.0000

# Tm2Be4IrPt3

A geometry-optimized Tm2Be4IrPt3 structure (GGA-PBE, the Alexandria database).

Results
- Calculated formation energy: -8.91 eV per formula unit
- Density of states at the Fermi level: 4.91 states/eV/f.u.
- Crystal system: tetragonal
- Final energy: -59.7 eV per cell

a = 4.0115 Å, b = 4.0115 Å, c = 9.2897 Å
α = 90.00°, β = 90.00°, γ = 90.00°
Element x y z (fractional)
Tm 0.0000 0.5000 0.7442
Tm 0.5000 0.0000 0.2558
Pt 0.0000 0.0000 0.5000
Ir 0.5000 0.5000 0.5000
Be 0.0000 0.0000 0.0000
Be 0.5000 0.5000 0.0000
Pt 0.0000 0.5000 0.1262
Be 0.5000 0.0000 0.6242
Pt 0.5000 0.0000 0.8738
Be 0.0000 0.5000 0.3758

# BeIr2PtW

A geometry-optimized BeIr2PtW structure (GGA-PBE, the Alexandria database).

Results
- Calculated formation energy: 8.89 eV per formula unit
- Density of states at the Fermi level: 5.02 states/eV/f.u.
- Crystal system: tetragonal
- Final energy: -31.6 eV per cell

a = 4.7323 Å, b = 4.8435 Å, c = 4.7323 Å
α = 90.00°, β = 90.00°, γ = 90.00°
Element x y z (fractional)
Ir 0.0000 0.0000 0.5000
Ir 0.5000 0.0000 0.0000
Be 0.5000 0.5000 0.5000
W 0.0000 0.0000 0.0000
Pt 0.0000 0.5000 0.0000

# BeIrPt2W

A geometry-optimized BeIrPt2W structure (GGA-PBE, the Alexandria database).

Results
- Calculated formation energy: 2.39 eV per formula unit
- Density of states at the Fermi level: 7.02 states/eV/f.u.
- Crystal system: tetragonal
- Final energy: -35.2 eV per cell

a = 4.1240 Å, b = 4.3081 Å, c = 4.1240 Å
α = 90.00°, β = 90.00°, γ = 90.00°
Element x y z (fractional)
Pt 0.0000 0.0000 0.5000
Pt 0.5000 0.0000 0.0000
W 0.0000 0.5000 0.0000
Be 0.0000 0.0000 0.0000
Ir 0.5000 0.5000 0.5000